# MgAs2Pt (PBE-GGA, optimized geometry)
# **Raw total energy**: -17.7 eV for the cell shown
# **Calculated volume**: 71.4 Å³/f.u.
data_MgAs2Pt
_cell_length_a 4.327
_cell_length_b 3.443
_cell_length_c 5.066
_cell_angle_alpha 90.00
_cell_angle_beta 108.83
_cell_angle_gamma 90.00
_symmetry_space_group_name_H-M 'P 1 2/m 1'
_symmetry_Int_Tables_number 10
_symmetry_space_group_name_Hall '-P 2y'
loop_
_atom_site_label
_atom_site_fract_x
_atom_site_fract_y
_atom_site_fract_z
Mg1 0.000 0.000 0.000
As1 0.500 0.000 0.500
As2 0.500 0.500 0.000
Pt1 0.000 0.500 0.500

---

# PuMgAsPt (PBE-GGA, optimized geometry)
# **Raw total energy**: -117.4 eV for the cell shown
# **Calculated volume**: 80.0 Å³/f.u.
data_PuMgAsPt
_cell_length_a 6.839
_cell_length_b 6.839
_cell_length_c 6.839
_cell_angle_alpha 90.00
_cell_angle_beta 90.00
_cell_angle_gamma 90.00
_symmetry_space_group_name_H-M 'F -4 3 m'
_symmetry_Int_Tables_number 216
_symmetry_space_group_name_Hall 'F -4 2 3'
loop_
_atom_site_label
_atom_site_fract_x
_atom_site_fract_y
_atom_site_fract_z
Pu1 0.000 0.000 0.000
Mg1 0.000 0.000 0.500
As1 0.250 0.250 0.250
Pt1 0.250 0.250 0.750

---

Ordered total magnetic moment results: 0.00, 20.07; unit μB/cell.